Computed, not measured: an optimized crystal structure of TeAsP2 at the GGA-PBE level of DFT.

```
data_TeAsP2
_chemical_formula_sum 'Te4 As4 P8'
_symmetry_space_group_name_H-M 'I -4 2 d'
_symmetry_Int_Tables_number 122
_symmetry_space_group_name_Hall 'I -4 2bw'
_cell_length_a 6.784
_cell_length_b 6.784
_cell_length_c 8.290
_cell_angle_alpha 90.00
_cell_angle_beta 90.00
_cell_angle_gamma 90.00
loop_
_atom_site_label
_atom_site_type_symbol
_atom_site_fract_x
_atom_site_fract_y
_atom_site_fract_z
Te1 Te 0.000 0.000 0.000
As1 As 0.000 0.000 0.500
P1 P 0.217 0.250 0.625
```

Results
Energy in eV/atom: -4.2275
Crystal system: tetragonal
ΔE_f (raw) in meV per atom: 425